# SrPbNO2 (meta-GGA SCAN, single point on PBEsol structure)
# **DOS at the Fermi energy**: 2.62 states/eV per cell
# **Energy relative to the elements, uncorrected**: 0.039 eV/atom
data_SrPbNO2
_chemical_formula_sum 'Sr1 Pb1 N1 O2'
_cell_length_a 4.493
_cell_length_b 4.493
_cell_length_c 4.683
_cell_angle_alpha 90.00
_cell_angle_beta 90.00
_cell_angle_gamma 90.00
_space_group_name_H-M_alt 'P 4/m m m'
_space_group_IT_number 123
_space_group_name_Hall '-P 4 2'
loop_
_atom_site_label
_atom_site_fract_x
_atom_site_fract_y
_atom_site_fract_z
_atom_site_occupancy
Sr1 0.000 0.000 0.000 1
Pb1 0.500 0.500 0.500 1
N1 0.000 0.000 0.500 1
O1 0.000 0.500 0.000 1

=====

# ZrBe2Pt (meta-GGA SCAN, single point on PBEsol structure)
# **DOS at the Fermi energy**: 6.15 states/eV per cell
# **Energy above the lowest structure with this stoichiometry**: 0 meV per atom
data_ZrBe2Pt
_chemical_formula_sum 'Zr3 Be6 Pt3'
_cell_length_a 3.8009
_cell_length_b 3.8009
_cell_length_c 13.0647
_cell_angle_alpha 90.00
_cell_angle_beta 90.00
_cell_angle_gamma 120.00
_space_group_name_H-M_alt 'R -3 m'
_space_group_IT_number 166
_space_group_name_Hall '-R 3 2"'
loop_
_atom_site_label
_atom_site_fract_x
_atom_site_fract_y
_atom_site_fract_z
_atom_site_occupancy
Zr1 0.0000 0.0000 0.0000 1
Be1 0.0000 0.0000 0.2084 1
Pt1 0.0000 0.0000 0.5000 1

=====

# TaBe2NiMo (meta-GGA SCAN, single point on PBEsol structure)
# **DOS at the Fermi energy**: 2.79 states/eV per cell
data_TaBe2NiMo
_chemical_formula_sum 'Ta1 Be2 Ni1 Mo1'
_cell_length_a 4.375
_cell_length_b 4.375
_cell_length_c 4.539
_cell_angle_alpha 90.00
_cell_angle_beta 90.00
_cell_angle_gamma 90.00
_space_group_name_H-M_alt 'P 4/m m m'
_space_group_IT_number 123
_space_group_name_Hall '-P 4 2'
loop_
_atom_site_label
_atom_site_fract_x
_atom_site_fract_y
_atom_site_fract_z
_atom_site_occupancy
Ta1 0.000 0.000 0.000 1
Be1 0.000 0.500 0.000 1
Ni1 0.500 0.500 0.500 1
Mo1 0.000 0.000 0.500 1

=====

# Zr2ScAu (meta-GGA SCAN, single point on PBEsol structure)
# **DOS at the Fermi energy**: 4.82 states/eV per cell
data_Zr2ScAu
_chemical_formula_sum 'Zr2 Sc1 Au1'
_cell_length_a 4.223
_cell_length_b 4.223
_cell_length_c 4.498
_cell_angle_alpha 90.00
_cell_angle_beta 90.00
_cell_angle_gamma 90.00
_space_group_name_H-M_alt 'P 4/m m m'
_space_group_IT_number 123
_space_group_name_Hall '-P 4 2'
loop_
_atom_site_label
_atom_site_fract_x
_atom_site_fract_y
_atom_site_fract_z
_atom_site_occupancy
Zr1 0.000 0.500 0.000 1
Sc1 0.000 0.000 0.500 1
Au1 0.500 0.500 0.500 1

=====

# LiCu2Pb (meta-GGA SCAN, single point on PBEsol structure)
# **DOS at the Fermi energy**: 3.12 states/eV per cell
data_LiCu2Pb
_chemical_formula_sum 'Li4 Cu8 Pb4'
_cell_length_a 6.218
_cell_length_b 6.218
_cell_length_c 6.218
_cell_angle_alpha 90.00
_cell_angle_beta 90.00
_cell_angle_gamma 90.00
_space_group_name_H-M_alt 'F -4 3 m'
_space_group_IT_number 216
_space_group_name_Hall 'F -4 2 3'
loop_
_atom_site_label
_atom_site_fract_x
_atom_site_fract_y
_atom_site_fract_z
_atom_site_occupancy
Li1 0.000 0.000 0.000 1
Cu1 0.000 0.000 0.500 1
Cu2 0.250 0.250 0.750 1
Pb1 0.250 0.250 0.250 1

=====

# FeNi6Ru (meta-GGA SCAN, single point on PBEsol structure)
# **DOS at the Fermi energy**: 40.82 states/eV per cell
data_FeNi6Ru
_chemical_formula_sum 'Fe8 Ni48 Ru8'
_cell_length_a 7.044
_cell_length_b 9.970
_cell_length_c 9.968
_cell_angle_alpha 90.00
_cell_angle_beta 90.00
_cell_angle_gamma 90.00
_space_group_name_H-M_alt 'C m m m'
_space_group_IT_number 65
_space_group_name_Hall '-C 2 2'
loop_
_atom_site_label
_atom_site_fract_x
_atom_site_fract_y
_atom_site_fract_z
_atom_site_occupancy
Fe1 0.000 0.000 0.248 1
Fe2 0.000 0.251 0.000 1
Ni1 0.000 0.000 0.000 1
Ni2 0.000 0.000 0.500 1
Ni3 0.000 0.249 0.247 1
Ni4 0.000 0.500 0.000 1
Ni5 0.000 0.500 0.500 1
Ni6 0.247 0.125 0.372 1
Ni7 0.248 0.126 0.123 1
Ru1 0.000 0.251 0.500 1
Ru2 0.000 0.500 0.249 1

=====

Number 1: DFT total energy -23.9231 eV/atom. Number 2: DFT total energy -28.2005 eV/atom. Number 3: DFT total energy -23.3896 eV/atom. Number 4: DFT total energy -36.6292 eV/atom. Number 5: DFT total energy -27.1362 eV/atom. Number 6: DFT total energy -18.7690 eV/atom.